(1)
Below is a geometry-optimized CdGeSeO structure, with properties calculated at the GGA-PBE level.

Cell lengths 7.4199, 10.7390, 8.3474 Å; angles 90.00, 90.00, 90.00 degrees
With the nearest neighbours (Å) after each atom.
Space group Pbca (No. 61)
One atom of each set of equivalent atoms:
Cd  0.0742  0.1644  0.1560 (multiplicity 8)  2 O 2.29-2.34
Ge  0.2300  0.5039  0.9826 (multiplicity 8)  1 O 1.79
Se  0.0184  0.0930  0.6890 (multiplicity 8)  2 Ge 2.52-2.55, 1 Cd 2.65
O  0.2299  0.6368  0.3724 (multiplicity 8)  1 Ge 1.79

Computed properties:
ΔE to the lowest computed polymorph ... 74.1 meV per atom

***

(2)
Below is a geometry-optimized Sc3ZnC2 structure, with properties calculated at the GGA-PBE level.

Cell lengths 3.3627, 3.3627, 19.6568 Å; angles 90.00, 90.00, 120.00 degrees
With the nearest neighbours (Å) after each atom.
Space group P6_3/mmc (No. 194)
One atom of each set of equivalent atoms:
Sc  0.0000  0.0000  0.0000 (multiplicity 2)  6 C 2.42
Sc  0.3333  0.6667  0.1270 (multiplicity 4)  3 C 2.21
Zn  0.0000  0.0000  0.2500 (multiplicity 2)  6 Sc 3.10, 6 Zn 3.36
C  0.3333  0.6667  0.5735 (multiplicity 4)  6 Sc 2.21-2.42

Computed properties:
E_tot ... -6.827 eV/atom

***

(3)
Below is a geometry-optimized Li4TlPbAu2 structure, with properties calculated at the GGA-PBE level.

Cell lengths 4.7004, 4.7004, 6.6315 Å; angles 90.00, 90.00, 90.00 degrees
With the nearest neighbours (Å) after each atom.
Space group P-4m2 (No. 115)
One atom of each set of equivalent atoms:
Li  0.0000  0.0000  0.0000 (multiplicity 1)  4 Au 2.88, 4 Li 2.90
Li  0.0000  0.5000  0.7427 (multiplicity 2)  2 Tl 2.85, 4 Li 2.85-2.90, 2 Pb 2.90
Li  0.5000  0.5000  0.5000 (multiplicity 1)  4 Li 2.85, 4 Au 2.87
Tl  0.0000  0.0000  0.5000 (multiplicity 1)  4 Li 2.85, 4 Au 2.87
Pb  0.5000  0.5000  0.0000 (multiplicity 1)  4 Au 2.88, 4 Li 2.90
Au  0.0000  0.5000  0.2515 (multiplicity 2)  2 Tl 2.87, 4 Li 2.87-2.88, 2 Pb 2.88

Computed properties:
E_tot ... -2.914 eV/atom

***

(4)
Below is a geometry-optimized RbErSO structure, with properties calculated at the GGA-PBE level.

Cell lengths 5.6749, 5.6744, 11.7547 Å; angles 90.00, 103.80, 90.00 degrees
With the nearest neighbours (Å) after each atom.
Space group C2 (No. 5)
One atom of each set of equivalent atoms:
Rb  0.1859  0.0000  0.3876 (multiplicity 4)  4 S 3.15-3.16
Er  0.2062  0.2444  0.9101 (multiplicity 4)  4 O 2.25-2.26
S  0.1258  0.4999  0.2677 (multiplicity 4)  2 Er 2.85-2.86, 1 O 3.06, 4 Rb 3.15-3.16
O  0.0000  0.4936  0.0000 (multiplicity 2)  4 Er 2.25
O  0.0000  0.9941  0.0000 (multiplicity 2)  4 Er 2.25-2.26

Computed properties:
ΔE to the lowest computed polymorph ... 34.7 meV per atom

***

(5)
Below is a geometry-optimized RbZrAuSe3 structure, with properties calculated at the GGA-PBE level.

Cell lengths 15.2649, 3.9967, 10.6350 Å; angles 90.00, 90.00, 90.00 degrees
With the nearest neighbours (Å) after each atom.
Space group Pnma (No. 62)
One atom of each set of equivalent atoms:
Rb  0.2342  0.2500  0.0477 (multiplicity 4)  7 Se 3.41-3.56
Zr  0.0143  0.2500  0.3254 (multiplicity 4)  6 Se 2.65-2.79
Au  0.0136  0.7500  0.0995 (multiplicity 4)  4 Se 2.59-2.89
Se  0.0856  0.2500  0.5673 (multiplicity 4)  3 Zr 2.76-2.79
Se  0.1021  0.7500  0.8597 (multiplicity 4)  1 Zr 2.65, 3 Au 2.70-2.89
Se  0.1332  0.7500  0.2718 (multiplicity 4)  1 Au 2.59, 2 Zr 2.76

Computed properties:
E_tot ... -4.911 eV/atom

***

(6)
Below is a geometry-optimized Ta3FeB2 structure, with properties calculated at the GGA-PBE level.

Cell lengths 3.1773, 3.1773, 18.1577 Å; angles 90.00, 90.00, 120.00 degrees
With the nearest neighbours (Å) after each atom.
Space group P6_3/mmc (No. 194)
One atom of each set of equivalent atoms:
Ta  0.0000  0.0000  0.0000 (multiplicity 2)  6 B 2.29
Ta  0.3333  0.6667  0.1476 (multiplicity 4)  3 B 2.25
Fe  0.0000  0.0000  0.2500 (multiplicity 2)  6 Ta 2.61
B  0.3333  0.6667  0.5756 (multiplicity 4)  6 Ta 2.25-2.29

Computed properties:
E_tot ... -9.859 eV/atom